No. 1
Compound: RbTlAg
Source: OQMD via LeMat-Bulk
Functional: PBE
Structure: relaxed

## Properties
symmetry	F-43m
volume	38.9	Å³/atom
total DFT energy (no corrections)	-1.889	eV per atom
energy above the lowest structure with this stoichiometry	0	meV per atom

Cell: 5.483 5.483 5.483 Å, 60.00 60.00 60.00°
Element x y z (fractional)
Tl  0.750  0.750  0.750
Rb  0.250  0.250  0.250
Ag  0.000  0.000  0.000


No. 2
Compound: AcCuPt
Source: OQMD via LeMat-Bulk
Functional: PBE
Structure: relaxed

## Properties
symmetry	F-43m
ΔE_f	-113	meV/atom
volume	28.5	Å³/atom
total DFT energy (no corrections)	-4.739	eV per atom
energy above the lowest structure with this stoichiometry	383	meV per atom
spin magnetization	0.0	μB/cell

Cell: 4.942 4.942 4.942 Å, 60.00 60.00 60.00°
Element x y z (fractional)
Pt  0.750  0.750  0.750
Ac  0.000  0.000  0.000
Cu  0.250  0.250  0.250